[1]
Material: Hf6TlHg
Method: DFT, PBE-GGA
State: optimized geometry

```
Hf6TlHg
1.0
-2.517 -2.872 -3.490
5.241 -3.181 -1.162
-3.921 -1.960 4.440
Hf Tl Hg
6 1 1
Cartesian
-1.201 -1.090 1.763
-3.148 -2.063 3.967
1.262 -5.499 -0.219
-1.365 -3.904 0.362
0.600 -2.922 -1.863
-0.546 -3.642 3.390
1.423 -2.672 1.173
3.219 -4.515 -2.440
```

Values from the calculation:
- total moment (μB/cell) = 0.000
- DFT total energy (eV per formula unit) = -62.15
- formation energy (kcal/mol of atoms) = 0.701

[2]
Material: Hf2TlHg2
Method: DFT, PBE-GGA
State: optimized geometry

```
Hf2TlHg2
1.0
-1.007 7.028 4.091
1.673 -3.855 7.035
3.291 0.703 -0.397
Hf Hg Tl
4 4 2
Cartesian
2.351 1.892 8.373
2.597 -1.028 5.242
1.605 1.984 2.356
1.360 4.904 5.487
0.498 -0.555 3.146
1.085 -0.741 7.677
0.167 3.728 7.979
-0.420 3.914 3.448
0.000 0.000 0.000
0.333 1.587 5.563
```

Values from the calculation:
- offset from the most stable computed form (eV/atom) = 0.013
- total moment (μB/cell) = 0.000
- DFT total energy (eV per formula unit) = -21.94
- formation energy (kcal/mol of atoms) = 4.318

[3]
Material: TmHfTlHg
Method: DFT, PBE-GGA
State: optimized geometry

```
TmHfTlHg
1.0
-3.412 -3.537 1.381
0.142 -1.985 4.701
-3.654 1.158 3.371
Tm Tl Hg Hf
1 1 1 1
Cartesian
-1.731 -1.091 2.363
0.000 0.000 0.000
-3.463 -2.182 4.727
-5.194 -3.273 7.090
```

Values from the calculation:
- total moment (μB/cell) = 0.002
- DFT total energy (eV per formula unit) = -17.44
- formation energy (kcal/mol of atoms) = -1.982

[4]
Material: Y2HfTlHg
Method: DFT, PBE-GGA
State: optimized geometry

```
Y2HfTlHg
1.0
5.561 0.000 0.000
0.000 5.431 0.000
0.000 0.000 5.561
Hg Tl Hf Y
1 1 1 2
Cartesian
0.000 2.716 0.000
2.781 2.716 2.781
0.000 0.000 0.000
0.000 0.000 2.781
2.781 0.000 0.000
```

Values from the calculation:
- total moment (μB/cell) = 0.000
- DFT total energy (eV per formula unit) = -22.44
- formation energy (kcal/mol of atoms) = 14.363